(1)
Y3Co5H12 | GGA-PBE | relaxed

```
data_Y3Co5H12
_cell_length_a 11.1419
_cell_length_b 11.1419
_cell_length_c 11.1419
_cell_angle_alpha 90.00
_cell_angle_beta 90.00
_cell_angle_gamma 90.00
_space_group_name_H-M_alt 'I a -3 d'
_space_group_IT_number 230
_space_group_name_Hall '-I 4bd 2c 3'
loop_
_atom_site_label
_atom_site_type_symbol
_atom_site_fract_x
_atom_site_fract_y
_atom_site_fract_z
Y1 Y 0.0000 0.2500 0.1250
Co1 Co 0.0000 0.0000 0.0000
Co2 Co 0.0000 0.2500 0.3750
H1 H 0.0359 0.0481 0.6402
```

Computed properties:
final energy	-798.5	eV for the cell shown

---

(2)
Ac4Sn2Ir | GGA-PBE | relaxed

```
data_Ac4Sn2Ir
_cell_length_a 12.6436
_cell_length_b 4.8644
_cell_length_c 9.4520
_cell_angle_alpha 90.00
_cell_angle_beta 122.11
_cell_angle_gamma 90.00
_space_group_name_H-M_alt 'C 1 2/m 1'
_space_group_IT_number 12
_space_group_name_Hall '-C 2y'
loop_
_atom_site_label
_atom_site_type_symbol
_atom_site_fract_x
_atom_site_fract_y
_atom_site_fract_z
Ac1 Ac 0.0779 0.0000 0.3524
Ac2 Ac 0.1700 0.5000 0.0640
Sn1 Sn 0.1331 0.5000 0.6518
Ir1 Ir 0.0000 0.0000 0.0000
```

Computed properties:
DFT formation energy	-0.65	eV per atom

---

(3)
Li2MgPt2 | GGA-PBE | relaxed

```
data_Li2MgPt2
_cell_length_a 7.1543
_cell_length_b 7.1543
_cell_length_c 2.9258
_cell_angle_alpha 90.00
_cell_angle_beta 90.00
_cell_angle_gamma 90.00
_space_group_name_H-M_alt 'P 4/m b m'
_space_group_IT_number 127
_space_group_name_Hall '-P 4 2ab'
loop_
_atom_site_label
_atom_site_type_symbol
_atom_site_fract_x
_atom_site_fract_y
_atom_site_fract_z
Li1 Li 0.1463 0.3537 0.0000
Mg1 Mg 0.0000 0.0000 0.5000
Pt1 Pt 0.1499 0.6499 0.5000
```

Computed properties:
DFT formation energy	-0.51	eV per atom
distance to the lowest polymorph of the same formula	0.103	eV/atom

---

(4)
AcPaSe2S | GGA-PBE | relaxed

```
data_AcPaSe2S
_cell_length_a 4.2239
_cell_length_b 4.2239
_cell_length_c 14.8863
_cell_angle_alpha 90.00
_cell_angle_beta 90.00
_cell_angle_gamma 90.00
_space_group_name_H-M_alt 'P 4/n m m'
_space_group_IT_number 129
loop_
_space_group_symop_operation_xyz
'x,y,z'
'-x,-y,-z'
'-y+1/2,x,z'
'y+1/2,-x,-z'
'-x+1/2,-y+1/2,z'
'x+1/2,y+1/2,-z'
'y,-x+1/2,z'
'-y,x+1/2,-z'
'x+1/2,-y,-z'
'-x+1/2,y,z'
'-y,-x,-z'
'y,x,z'
'-x,y+1/2,-z'
'x,-y+1/2,z'
'y+1/2,x+1/2,-z'
'-y+1/2,-x+1/2,z'
loop_
_atom_site_label
_atom_site_type_symbol
_atom_site_fract_x
_atom_site_fract_y
_atom_site_fract_z
Ac1 Ac 0.2500 0.2500 0.1373
Pa1 Pa 0.2500 0.2500 0.5895
Se1 Se 0.2500 0.2500 0.3903
Se2 Se 0.2500 0.2500 0.7813
S1 S 0.2500 0.7500 0.0000
```

Computed properties:
final energy	-64.6	eV for the cell shown

---

(5)
Rb2TlCu2I7 | GGA-PBE | relaxed

```
data_Rb2TlCu2I7
_cell_length_a 7.9349
_cell_length_b 7.9339
_cell_length_c 15.0388
_cell_angle_alpha 90.00
_cell_angle_beta 105.27
_cell_angle_gamma 90.00
_space_group_name_H-M_alt 'C 1 2/m 1'
_space_group_IT_number 12
_space_group_name_Hall '-C 2y'
loop_
_atom_site_label
_atom_site_type_symbol
_atom_site_fract_x
_atom_site_fract_y
_atom_site_fract_z
Rb1 Rb 0.1782 0.0000 0.3566
Tl1 Tl 0.0000 0.0000 0.0000
Cu1 Cu 0.0965 0.5000 0.1944
I1 I 0.0000 0.5000 0.0000
I2 I 0.1616 0.2500 0.8227
I3 I 0.1913 0.5000 0.3831
```

Computed properties:
final energy	-61.1	eV for the cell shown

---

(6)
BMo3N | GGA-PBE | relaxed

```
data_BMo3N
_cell_length_a 4.0120
_cell_length_b 4.0120
_cell_length_c 4.0120
_cell_angle_alpha 90.00
_cell_angle_beta 90.00
_cell_angle_gamma 90.00
_space_group_name_H-M_alt 'P m -3 m'
_space_group_IT_number 221
_space_group_name_Hall '-P 4 2 3'
loop_
_atom_site_label
_atom_site_type_symbol
_atom_site_fract_x
_atom_site_fract_y
_atom_site_fract_z
B1 B 0.0000 0.0000 0.0000
Mo1 Mo 0.0000 0.5000 0.5000
N1 N 0.5000 0.5000 0.5000
```

Computed properties:
distance to the lowest polymorph of the same formula	0.000	eV/atom

---

(7)
CuH10SO9 | GGA-PBE | relaxed

```
data_CuH10SO9
_cell_length_a 5.9750
_cell_length_b 6.0335
_cell_length_c 11.1386
_cell_angle_alpha 78.23
_cell_angle_beta 82.35
_cell_angle_gamma 73.74
_space_group_name_H-M_alt 'P -1'
_space_group_IT_number 2
_space_group_name_Hall '-P 1'
loop_
_atom_site_label
_atom_site_type_symbol
_atom_site_fract_x
_atom_site_fract_y
_atom_site_fract_z
Cu1 Cu 0.0000 0.0000 0.0000
Cu2 Cu 0.0000 0.5000 0.5000
H1 H 0.0469 0.2234 0.7012
H2 H 0.1320 0.2987 0.0938
H3 H 0.1500 0.6524 0.8780
H4 H 0.2442 0.6153 0.6384
H5 H 0.2476 0.7788 0.5039
H6 H 0.3079 0.1845 0.6283
H7 H 0.3233 0.1991 0.8709
H8 H 0.3296 0.8691 0.3102
H9 H 0.3606 0.0774 0.3688
H10 H 0.4185 0.9105 0.8849
S1 S 0.3945 0.4847 0.2198
O1 O 0.0121 0.7295 0.9299
O2 O 0.1353 0.2190 0.6197
O3 O 0.1501 0.6950 0.5679
O4 O 0.2293 0.7225 0.1968
O5 O 0.2800 0.0477 0.8926
O6 O 0.3472 0.3654 0.3474
O7 O 0.3591 0.4863 0.7945
O8 O 0.3770 0.3398 0.1289
O9 O 0.3965 0.9024 0.3789
```

Computed properties:
distance to the lowest polymorph of the same formula	0.000	eV/atom

---

(8)
RbP2ClF | GGA-PBE | relaxed

```
data_RbP2ClF
_cell_length_a 4.2864
_cell_length_b 4.2864
_cell_length_c 7.1945
_cell_angle_alpha 90.00
_cell_angle_beta 90.00
_cell_angle_gamma 90.00
_space_group_name_H-M_alt 'P 4/m m m'
_space_group_IT_number 123
_space_group_name_Hall '-P 4 2'
loop_
_atom_site_label
_atom_site_type_symbol
_atom_site_fract_x
_atom_site_fract_y
_atom_site_fract_z
Rb1 Rb 0.0000 0.0000 0.0000
P1 P 0.0000 0.5000 0.5000
Cl1 Cl 0.5000 0.5000 0.0000
F1 F 0.5000 0.5000 0.5000
```

Computed properties:
distance to the lowest polymorph of the same formula	0.000	eV/atom

---

(9)
Ca2Cu | GGA-PBE | relaxed

```
data_Ca2Cu
_cell_length_a 7.1695
_cell_length_b 7.1695
_cell_length_c 7.1695
_cell_angle_alpha 90.00
_cell_angle_beta 90.00
_cell_angle_gamma 90.00
_space_group_name_H-M_alt 'F m -3 m'
_space_group_IT_number 225
_space_group_name_Hall '-F 4 2 3'
loop_
_atom_site_label
_atom_site_type_symbol
_atom_site_fract_x
_atom_site_fract_y
_atom_site_fract_z
Ca1 Ca 0.2500 0.2500 0.2500
Cu1 Cu 0.0000 0.0000 0.0000
```

Computed properties:
DFT formation energy	0.02	eV per atom

---

(10)
Ba4Cu2Rh | GGA-PBE | relaxed

```
data_Ba4Cu2Rh
_cell_length_a 6.1797
_cell_length_b 6.1797
_cell_length_c 15.0521
_cell_angle_alpha 90.00
_cell_angle_beta 90.00
_cell_angle_gamma 90.00
_space_group_name_H-M_alt 'I 4/m m m'
_space_group_IT_number 139
_space_group_name_Hall '-I 4 2'
loop_
_atom_site_label
_atom_site_type_symbol
_atom_site_fract_x
_atom_site_fract_y
_atom_site_fract_z
Ba1 Ba 0.0000 0.0000 0.2002
Ba2 Ba 0.0000 0.5000 0.0000
Cu1 Cu 0.0000 0.0000 0.4180
Rh1 Rh 0.0000 0.0000 0.0000
```

Computed properties:
DFT formation energy	0.06	eV per atom

---

(11)
Ba3Sr12In | GGA-PBE | relaxed

```
data_Ba3Sr12In
_cell_length_a 6.0057
_cell_length_b 6.0057
_cell_length_c 23.4707
_cell_angle_alpha 90.00
_cell_angle_beta 90.00
_cell_angle_gamma 90.00
_space_group_name_H-M_alt 'P 4/m m m'
_space_group_IT_number 123
_space_group_name_Hall '-P 4 2'
loop_
_atom_site_label
_atom_site_type_symbol
_atom_site_fract_x
_atom_site_fract_y
_atom_site_fract_z
Ba1 Ba 0.0000 0.0000 0.0000
Ba2 Ba 0.0000 0.0000 0.2654
Sr1 Sr 0.0000 0.5000 0.1334
Sr2 Sr 0.0000 0.5000 0.4006
Sr3 Sr 0.5000 0.5000 0.0000
Sr4 Sr 0.5000 0.5000 0.2690
Sr5 Sr 0.5000 0.5000 0.5000
In1 In 0.0000 0.0000 0.5000
```

Computed properties:
DFT formation energy	-0.03	eV per atom

---

(12)
La8Pm2Y | GGA-PBE | relaxed

```
data_La8Pm2Y
_cell_length_a 18.8299
_cell_length_b 5.2575
_cell_length_c 8.2671
_cell_angle_alpha 90.00
_cell_angle_beta 105.16
_cell_angle_gamma 90.00
_space_group_name_H-M_alt 'C 1 2/m 1'
_space_group_IT_number 12
_space_group_name_Hall '-C 2y'
loop_
_atom_site_label
_atom_site_type_symbol
_atom_site_fract_x
_atom_site_fract_y
_atom_site_fract_z
La1 La 0.0465 0.0000 0.2266
La2 La 0.0907 0.5000 0.9539
La3 La 0.1371 0.0000 0.6833
La4 La 0.1813 0.5000 0.4119
Pm1 Pm 0.2266 0.0000 0.1356
Y1 Y 0.0000 0.5000 0.5000
```

Computed properties:
DFT formation energy	0.01	eV per atom
distance to the lowest polymorph of the same formula	0.000	eV/atom

---

Which formula does entry 11 have? Ba3Sr12In